# 1
DFT (PBE) results for a geometry-optimized SmDy8Cd6 structure.

Summary:
* ΔH_f (0 K): -0.067 eV/atom
* spin magnetization: 3.6 μB per cell
* E_tot: -144.09 eV per cell

a = 8.9966 Å, b = 8.9966 Å, c = 19.1022 Å
α = 90.00°, β = 90.00°, γ = 120.00°
Last column: nearest neighbours and their distance in Å.
Space group R-3 (No. 148, hexagonal axes)
One atom of each set of equivalent atoms:
Sm 0.0000 0.0000 0.0000 x3  6 Cd 3.19
Dy 0.0000 0.0000 0.3327 x6  6 Cd 3.14-3.15
Dy 0.0010 0.6657 0.7831 x18  5 Cd 3.15-3.26
Cd 0.0001 0.3370 0.0520 x18  7 Dy 3.14-3.26, 1 Sm 3.19

***

# 2
DFT (PBE) results for a geometry-optimized Sm2DyCd8 structure.

Summary:
* ΔH_f (0 K): -0.245 eV/atom
* spin magnetization: 0.0 μB per cell
* E_tot: -48.12 eV per cell

a = 15.9652 Å, b = 4.9975 Å, c = 7.0802 Å
α = 90.00°, β = 107.27°, γ = 90.00°
Last column: nearest neighbours and their distance in Å.
Space group C2/m (No. 12)
One atom of each set of equivalent atoms:
Sm 0.2158 0.0000 0.1478 x4  10 Cd 3.20-3.48
Dy 0.0000 0.5000 0.5000 x2  12 Cd 3.07-3.34
Cd 0.0158 0.0000 0.2171 x4  5 Cd 2.96-3.07, 2 Dy 3.26
Cd 0.0895 0.5000 0.9615 x4  4 Cd 2.95-3.07, 1 Dy 3.15, 2 Sm 3.24
Cd 0.1443 0.0000 0.6338 x4  5 Cd 2.98-3.13, 2 Dy 3.34
Cd 0.1728 0.5000 0.3939 x4  4 Cd 2.95-3.13, 1 Dy 3.07, 3 Sm 3.20-3.23

***

# 3
DFT (PBE) results for a geometry-optimized Sm3Dy2Cd2 structure.

Summary:
* ΔH_f (0 K): -0.155 eV/atom
* spin magnetization: 0.0 μB per cell
* E_tot: -52.56 eV per cell

a = 9.4253 Å, b = 5.4477 Å, c = 8.6311 Å
α = 90.00°, β = 111.42°, γ = 90.00°
Last column: nearest neighbours and their distance in Å.
Space group C2/m (No. 12)
One atom of each set of equivalent atoms:
Sm 0.0000 0.0000 0.0000 x2  6 Cd 3.32
Sm 0.1577 0.0000 0.4732 x4  1 Cd 3.17, 3 Sm 3.17, 3 Dy 3.51
Dy 0.0738 0.5000 0.7215 x4  4 Cd 3.30-3.36, 3 Sm 3.51, 1 Dy 3.56
Cd 0.2106 0.5000 0.1326 x4  4 Sm 3.17-3.32, 4 Dy 3.30-3.36

***

# 4
DFT (PBE) results for a geometry-optimized SmDy3Cd3 structure.

Summary:
* ΔH_f (0 K): -0.138 eV/atom
* spin magnetization: 1.9 μB per cell
* E_tot: -88.96 eV per cell

a = 10.6232 Å, b = 10.7953 Å, c = 7.0016 Å
α = 90.00°, β = 90.00°, γ = 90.00°
Last column: nearest neighbours and their distance in Å.
Space group Cmmm (No. 65)
One atom of each set of equivalent atoms:
Sm 0.2326 0.0000 0.0000 x4  6 Cd 3.23-3.34, 4 Dy 3.50-3.60
Dy 0.0000 0.2429 0.0000 x4  6 Cd 3.19-3.28, 2 Dy 3.50
Dy 0.0000 0.2451 0.5000 x4  6 Cd 3.17-3.26, 2 Dy 3.50
Dy 0.2354 0.0000 0.5000 x4  6 Cd 3.21-3.31, 2 Sm 3.50
Cd 0.0000 0.5000 0.2496 x4  6 Dy 3.26-3.31, 2 Sm 3.34, 2 Cd 3.49-3.51
Cd 0.2500 0.2500 0.2529 x8  6 Dy 3.17-3.21, 2 Sm 3.23, 2 Cd 3.46-3.54

***

# 5
DFT (PBE) results for a geometry-optimized Sm2Dy2Cd structure.

Summary:
* ΔH_f (0 K): 0.052 eV/atom
* spin magnetization: 0.0 μB per cell
* E_tot: -77.19 eV per cell

a = 5.1572 Å, b = 5.1572 Å, c = 24.6368 Å
α = 90.00°, β = 90.00°, γ = 90.00°
Last column: nearest neighbours and their distance in Å.
Space group I4_1/amd (No. 141, origin choice 2)
One atom of each set of equivalent atoms:
Sm 0.0000 0.2500 0.0468 x8  2 Cd 3.22, 2 Sm 3.46, 2 Dy 3.57
Dy 0.0000 0.2500 0.1967 x8  2 Cd 3.13
Cd 0.0000 0.2500 0.8750 x4  4 Dy 3.13, 4 Sm 3.22

***

# 6
DFT (PBE) results for a geometry-optimized SmDy14Cd structure.

Summary:
* ΔH_f (0 K): -0.018 eV/atom
* spin magnetization: 0.0 μB per cell
* E_tot: -140.71 eV per cell

a = 11.2295 Å, b = 7.1555 Å, c = 12.3861 Å
α = 90.00°, β = 90.00°, γ = 90.00°
Last column: nearest neighbours and their distance in Å.
Space group Amm2 (No. 38)
One atom of each set of equivalent atoms:
Sm 0.0000 0.0000 0.0000 x2  10 Dy 3.44-3.71, 2 Cd 3.58
Dy 0.0000 0.2408 0.7592 x4  2 Sm 3.44-3.71, 8 Dy 3.45-3.71, 2 Cd 3.56-3.59
Dy 0.2431 0.0000 0.3417 x4  1 Cd 3.42, 11 Dy 3.45-3.59
Dy 0.2446 0.2493 0.5910 x8  1 Cd 3.43, 10 Dy 3.45-3.59, 1 Sm 3.47
Dy 0.2550 0.0000 0.8408 x4  11 Dy 3.45-3.58, 1 Sm 3.48
Dy 0.5000 0.0000 0.0101 x2  12 Dy 3.46-3.61
Dy 0.5000 0.0000 0.5083 x2  12 Dy 3.53-3.58
Dy 0.5000 0.2477 0.2573 x4  12 Dy 3.45-3.61
Cd 0.0000 0.0000 0.5078 x2  10 Dy 3.42-3.59, 2 Sm 3.58

***

# 7
DFT (PBE) results for a geometry-optimized SmDy5Cd3 structure.

Summary:
* ΔH_f (0 K): -0.179 eV/atom
* spin magnetization: 0.0 μB per cell
* E_tot: -64.18 eV per cell

a = 9.1997 Å, b = 9.1997 Å, c = 6.9662 Å
α = 90.00°, β = 90.00°, γ = 120.00°
Last column: nearest neighbours and their distance in Å.
Space group P6_3/mcm (No. 193)
One atom of each set of equivalent atoms:
Sm 0.0000 0.0000 0.0000 x2  2 Sm 3.48, 6 Dy 3.53, 6 Cd 3.55
Dy 0.0000 0.3333 0.2500 x6  3 Cd 3.05-3.08
Dy 0.3333 0.6667 0.0000 x4  8 Dy 3.48-3.53, 6 Cd 3.52
Cd 0.0000 0.3357 0.7500 x6  3 Dy 3.05-3.08

***

# 8
DFT (PBE) results for a geometry-optimized Sm12DyCd6 structure.

Summary:
* ΔH_f (0 K): -0.096 eV/atom
* spin magnetization: 0.0 μB per cell
* E_tot: -205.64 eV per cell

a = 11.4524 Å, b = 11.4524 Å, c = 14.8830 Å
α = 90.00°, β = 90.00°, γ = 120.00°
Last column: nearest neighbours and their distance in Å.
Space group R-3 (No. 148, hexagonal axes)
One atom of each set of equivalent atoms:
Sm 0.0365 0.1901 0.3077 x18  4 Sm 3.23-3.47, 4 Cd 3.27-3.61, 1 Dy 3.49
Sm 0.0567 0.8414 0.9094 x18  4 Cd 3.23-3.60, 4 Sm 3.37-3.49
Dy 0.0000 0.0000 0.5000 x3  6 Cd 3.15, 6 Sm 3.49
Cd 0.0333 0.4410 0.2052 x18  1 Dy 3.15, 5 Sm 3.23-3.47, 2 Cd 3.31